Record 1
The following is a DFT calculation (GGA-PBE) of crystalline Na2Ca2Ta3O10 at its relaxed geometry.

The structure belongs to space group I4/mmm (No. 139); the cell edges are 3.988, 3.988 and 28.719 Å and the angles 90.00°, 90.00° and 90.00°. The distinct sites, in fractional coordinates, are Na at (0.000, 0.000, 0.212), Ca at (0.000, 0.000, 0.077), Ta at (0.000, 0.000, 0.356), Ta at (0.000, 0.000, 0.500), O at (0.000, 0.000, 0.291), O at (0.000, 0.000, 0.431), O at (0.000, 0.500, 0.000) and O at (0.000, 0.500, 0.134).

The energy relative to the elements, uncorrected comes out at -2.726 eV/atom. The value obtained for the total energy is -276.2 eV per cell.


Record 2
The following is a DFT calculation (GGA-PBE) of crystalline VZn3S at its relaxed geometry.

The structure belongs to space group Pm-3m (No. 221); the cell edges are 4.974, 4.974 and 4.974 Å and the angles 90.00°, 90.00° and 90.00°. The distinct sites, in fractional coordinates, are V at (0.000, 0.000, 0.000), Zn at (0.000, 0.000, 0.500) and S at (0.500, 0.500, 0.500).

The energy relative to the elements, uncorrected comes out at 1.029 eV/atom. The value obtained for the total energy is -11.9 eV per cell. Its polymorph energy (0 for the lowest one) is 1.27 eV/f.u.


Record 3
The following is a DFT calculation (GGA-PBE) of crystalline ScV2Cl at its relaxed geometry.

The structure belongs to space group Fm-3m (No. 225); the cell edges are 6.558, 6.558 and 6.558 Å and the angles 90.00°, 90.00° and 90.00°. The distinct sites, in fractional coordinates, are Sc at (0.000, 0.000, 0.000), V at (0.250, 0.250, 0.250) and Cl at (0.000, 0.000, 0.500).

The energy relative to the elements, uncorrected comes out at 0.841 eV/atom. The value obtained for the total energy is -92.2 eV per cell. Its polymorph energy (0 for the lowest one) is 2.53 eV/f.u.


Record 4
The following is a DFT calculation (GGA-PBE) of crystalline CsMg2Hg2 at its relaxed geometry.

The structure belongs to space group I4/mmm (No. 139); the cell edges are 4.847, 4.847 and 14.571 Å and the angles 90.00°, 90.00° and 90.00°. The distinct sites, in fractional coordinates, are Cs at (0.000, 0.000, 0.000), Mg at (0.000, 0.500, 0.250) and Hg at (0.000, 0.000, 0.362).

The formation energy is -139.1 meV per atom. The value obtained for the total energy is -10.7 eV per cell. Its polymorph energy (0 for the lowest one) is 0.00 eV/f.u.


Record 5
The following is a DFT calculation (GGA-PBE) of crystalline KBaSc2 at its relaxed geometry.

The structure belongs to space group P4/mmm (No. 123); the cell edges are 3.569, 3.569 and 12.060 Å and the angles 90.00°, 90.00° and 90.00°. The distinct sites, in fractional coordinates, are K at (0.000, 0.000, 0.000), Ba at (0.000, 0.000, 0.500) and Sc at (0.500, 0.500, 0.269).

The formation energy is 622.2 meV per atom. The value obtained for the total energy is -13.2 eV per cell. Its polymorph energy (0 for the lowest one) is 1.12 eV/f.u.


Record 6
The following is a DFT calculation (GGA-PBE) of crystalline Ho8AlTl2 at its relaxed geometry.

The structure belongs to space group C2/m (No. 12); the cell edges are 17.722, 5.179 and 6.950 Å and the angles 90.00°, 99.55° and 90.00°. The distinct sites, in fractional coordinates, are Ho at (0.028, 0.000, 0.254), Ho at (0.089, 0.500, 0.940), Ho at (0.161, 0.500, 0.438), Ho at (0.179, 0.000, 0.768), Al at (0.000, 0.500, 0.500) and Tl at (0.206, 0.000, 0.217).

The formation energy is -162.1 meV per atom. The value obtained for the total energy is -93.8 eV per cell.


Record 7
The following is a DFT calculation (GGA-PBE) of crystalline Rb2Y2SnS6 at its relaxed geometry.

The structure belongs to space group C2/m (No. 12); the cell edges are 6.875, 11.836 and 8.258 Å and the angles 90.00°, 106.46° and 90.00°. The distinct sites, in fractional coordinates, are Rb at (0.000, 0.170, 0.000), Y at (0.000, 0.333, 0.500), Sn at (0.000, 0.000, 0.500), S at (0.224, 0.159, 0.687) and S at (0.249, 0.500, 0.684).

The energy relative to the elements, uncorrected comes out at -1.449 eV/atom. The value obtained for the total energy is -119.1 eV per cell.


Record 8
The following is a DFT calculation (GGA-PBE) of crystalline Ac5LaTb at its relaxed geometry.

The structure belongs to space group Imma (No. 74); the cell edges are 12.098, 14.045 and 7.126 Å and the angles 90.00°, 90.00° and 90.00°. The distinct sites, in fractional coordinates, are Ac at (0.000, 0.037, 0.249), Ac at (0.000, 0.250, 0.538), Ac at (0.250, 0.115, 0.750), La at (0.250, 0.250, 0.250) and Tb at (0.000, 0.250, 0.993).

The formation energy is 191.3 meV per atom. The value obtained for the total energy is -115.0 eV per cell.


Record 9
The following is a DFT calculation (GGA-PBE) of crystalline Tb6HoTh at its relaxed geometry.

The structure belongs to space group P-1 (No. 2); the cell edges are 6.588, 6.636 and 6.763 Å and the angles 60.79°, 85.63° and 87.71°. The distinct sites, in fractional coordinates, are Tb at (0.243, 0.069, 0.016), Tb at (0.252, 0.027, 0.517), Tb at (0.254, 0.567, 0.010), Ho at (0.000, 0.500, 0.500) and Th at (0.500, 0.500, 0.500).

The formation energy is 215.7 meV per atom. The value obtained for the total energy is -38.1 eV per cell. Its polymorph energy (0 for the lowest one) is 1.47 eV/f.u.


Record 10
The following is a DFT calculation (GGA-PBE) of crystalline Cr2FeSiH at its relaxed geometry.

The structure belongs to space group P4/mmm (No. 123); the cell edges are 3.657, 3.657 and 3.657 Å and the angles 90.00°, 90.00° and 90.00°. The distinct sites, in fractional coordinates, are Cr at (0.000, 0.500, 0.000), Fe at (0.000, 0.000, 0.500), Si at (0.500, 0.500, 0.500) and H at (0.000, 0.000, 0.000).

The value obtained for the total energy is -36.9 eV per cell.


Record 11
The following is a DFT calculation (GGA-PBE) of crystalline ZnRe2Au at its relaxed geometry.

The structure belongs to space group I-42d (No. 122); the cell edges are 7.211, 7.211 and 5.133 Å and the angles 90.00°, 90.00° and 90.00°. The distinct sites, in fractional coordinates, are Zn at (0.000, 0.000, 0.000), Re at (0.226, 0.250, 0.125) and Au at (0.000, 0.000, 0.500).

The formation energy is 1095.8 meV per atom. The value obtained for the total energy is -100.3 eV per cell.


Record 12
The following is a DFT calculation (GGA-PBE) of crystalline ZrTcPb2 at its relaxed geometry.

The structure belongs to space group Fm-3m (No. 225); the cell edges are 6.976, 6.976 and 6.976 Å and the angles 90.00°, 90.00° and 90.00°. The distinct sites, in fractional coordinates, are Zr at (0.000, 0.000, 0.000), Tc at (0.000, 0.000, 0.500) and Pb at (0.250, 0.250, 0.250).

The formation energy is 340.1 meV per atom. The value obtained for the total energy is -99.9 eV per cell. Its polymorph energy (0 for the lowest one) is 1.13 eV/f.u.


Record 13
The following is a DFT calculation (GGA-PBE) of crystalline Ba3LiO at its relaxed geometry.

The structure belongs to space group Pm-3m (No. 221); the cell edges are 5.675, 5.675 and 5.675 Å and the angles 90.00°, 90.00° and 90.00°. The distinct sites, in fractional coordinates, are Ba at (0.000, 0.000, 0.500), Li at (0.500, 0.500, 0.500) and O at (0.000, 0.000, 0.000).

The energy relative to the elements, uncorrected comes out at -0.925 eV/atom. The value obtained for the total energy is -17.3 eV per cell. Its polymorph energy (0 for the lowest one) is 0.00 eV/f.u.


Record 14
The following is a DFT calculation (GGA-PBE) of crystalline Hf2Pa5Se12 at its relaxed geometry.

The structure belongs to space group C2/m (No. 12); the cell edges are 16.010, 7.391 and 8.828 Å and the angles 90.00°, 106.10° and 90.00°. The distinct sites, in fractional coordinates, are Hf at (0.000, 0.208, 0.000), Pa at (0.000, 0.500, 0.500), Pa at (0.177, 0.000, 0.849), Pa at (0.194, 0.000, 0.343), Se at (0.002, 0.500, 0.806), Se at (0.007, 0.000, 0.256), Se at (0.151, 0.254, 0.572) and Se at (0.170, 0.261, 0.092).

The energy relative to the elements, uncorrected comes out at -1.254 eV/atom. The value obtained for the total energy is -266.1 eV per cell.


Record 15
The following is a DFT calculation (GGA-PBE) of crystalline SrCa8Cd2 at its relaxed geometry.

The structure belongs to space group C2/m (No. 12); the cell edges are 18.310, 5.566 and 8.822 Å and the angles 90.00°, 112.17° and 90.00°. The distinct sites, in fractional coordinates, are Sr at (0.000, 0.000, 0.000), Ca at (0.054, 0.500, 0.732), Ca at (0.113, 0.000, 0.486), Ca at (0.165, 0.500, 0.254), Ca at (0.189, 0.000, 0.939) and Cd at (0.220, 0.500, 0.668).

The formation energy is -100.0 meV per atom. The value obtained for the total energy is -41.2 eV per cell.


Record 16
The following is a DFT calculation (GGA-PBE) of crystalline AcUNi4 at its relaxed geometry.

The structure belongs to space group F-43m (No. 216); the cell edges are 7.310, 7.310 and 7.310 Å and the angles 90.00°, 90.00° and 90.00°. The distinct sites, in fractional coordinates, are Ac at (0.000, 0.000, 0.000), U at (0.250, 0.250, 0.750) and Ni at (0.123, 0.123, 0.377).

The formation energy is -58.5 meV per atom. The value obtained for the total energy is -155.5 eV per cell.


Record 17
The following is a DFT calculation (GGA-PBE) of crystalline Sm4Dy5 at its relaxed geometry.

The structure belongs to space group C2/m (No. 12); the cell edges are 11.869, 10.740 and 5.053 Å and the angles 90.00°, 115.12° and 90.00°. The distinct sites, in fractional coordinates, are Sm at (0.167, 0.167, 0.166), Dy at (0.000, 0.000, 0.500), Dy at (0.000, 0.334, 0.500) and Dy at (0.166, 0.500, 0.166).

The formation energy is 16.7 meV per atom. The value obtained for the total energy is -83.5 eV per cell. Its polymorph energy (0 for the lowest one) is 0.00 eV/f.u.


Record 18
The following is a DFT calculation (GGA-PBE) of crystalline PaNi3B at its relaxed geometry.

The structure belongs to space group Pc (No. 7); the cell edges are 5.025, 4.691 and 7.265 Å and the angles 90.00°, 127.75° and 90.00°. The distinct sites, in fractional coordinates, are Pa at (0.000, 0.120, 0.000), Ni at (0.311, 0.343, 0.742), Ni at (0.510, 0.071, 0.520), Ni at (0.701, 0.433, 0.164) and B at (0.206, 0.406, 0.419).

The formation energy is -335.6 meV per atom. The value obtained for the total energy is -70.4 eV per cell. Its polymorph energy (0 for the lowest one) is 0.00 eV/f.u.